Record 1
# Li2CdGa2

A relaxed structure of Li2CdGa2 (PBE, Alexandria via LeMat-Bulk).

Results
distance to the lowest polymorph of the same formula: 0.001 eV/atom
space group: C2/c (15)
DFT formation energy: -0.21 eV/atom

a = 5.584 Å, b = 5.584 Å, c = 7.412 Å
α = 109.51°, β = 109.51°, γ = 54.38°
Fractional coordinates of all 10 atoms:
Li 0.035 0.353 0.149
Li 0.353 0.035 0.649
Li 0.647 0.965 0.351
Li 0.965 0.647 0.851
Cd 0.182 0.818 0.250
Cd 0.818 0.182 0.750
Ga 0.224 0.558 0.545
Ga 0.442 0.776 0.955
Ga 0.558 0.224 0.045
Ga 0.776 0.442 0.455

Record 2
# Fe2ReOs

A relaxed structure of Fe2ReOs (PBE, Alexandria via LeMat-Bulk).

Results
space group: I-42d (122)
DFT formation energy: 0.86 eV/atom

a = 6.666 Å, b = 6.666 Å, c = 5.087 Å
α = 90.00°, β = 90.00°, γ = 90.00°
Fractional coordinates of all 16 atoms:
Fe 0.249 0.250 0.125
Fe 0.250 0.749 0.375
Fe 0.250 0.751 0.875
Fe 0.251 0.250 0.625
Fe 0.749 0.750 0.625
Fe 0.750 0.249 0.875
Fe 0.750 0.251 0.375
Fe 0.751 0.750 0.125
Re 0.000 0.000 0.000
Re 0.000 0.500 0.250
Re 0.500 0.000 0.750
Re 0.500 0.500 0.500
Os 0.000 0.000 0.500
Os 0.000 0.500 0.750
Os 0.500 0.000 0.250
Os 0.500 0.500 0.000